w) Density functional theory data (PBE) for crystalline DyThCd at its relaxed geometry.

Unit cell a=3.5566 b=5.3314 c=5.3314 alpha=120.00 beta=90.00 gamma=90.00
Closest atoms and distances in Å follow each position.
Element x y z (fractional)
Dy 0.5693 0.3333 0.6667  3 Cd 3.13, 3 Th 3.47
Th 0.0225 0.0000 0.0000  3 Cd 3.37, 6 Dy 3.47-3.64, 2 Th 3.56
Cd 0.4082 0.6667 0.3333  3 Dy 3.13, 3 Th 3.37

Space group   No. 156
Calculated density   9.6 g cm⁻³
DOS at the Fermi energy   1.1197 states/eV/atom

x) Density functional theory data (PBE) for crystalline DyThCd at its relaxed geometry.

Unit cell a=3.5835 b=3.5835 c=7.2692 alpha=104.27 beta=104.27 gamma=90.00
Closest atoms and distances in Å follow each position.
Element x y z (fractional)
Dy 0.3217 0.3217 0.6434  4 Cd 3.24, 4 Th 3.55, 4 Dy 3.58
Cd 0.6739 0.6739 0.3478  4 Dy 3.24, 4 Th 3.43, 4 Cd 3.58
Th 0.0044 0.0044 0.0088  4 Cd 3.43, 4 Dy 3.55, 4 Th 3.58

Space group   No. 107
Calculated density   9.6 g cm⁻³
DOS at the Fermi energy   0.8150 states/eV/atom

y) Density functional theory data (PBE) for crystalline DyThCd at its relaxed geometry.

Unit cell a=5.9014 b=5.9014 c=6.6488 alpha=102.01 beta=102.01 gamma=122.09
Closest atoms and distances in Å follow each position.
Element x y z (fractional)
Th 0.3322 0.6678 0.0000  3 Th 3.32-3.47, 4 Cd 3.43
Th 0.6678 0.3322 0.0000  3 Th 3.32-3.47, 4 Cd 3.43
Cd 0.7500 0.2500 0.5000  2 Cd 2.86
Cd 0.2500 0.7500 0.5000  2 Cd 2.86
Dy 0.1390 0.1390 0.2780  4 Cd 3.24, 1 Dy 3.34
Dy 0.8610 0.8610 0.7220  4 Cd 3.24, 1 Dy 3.34

Space group   No. 69
Calculated density   9.5 g cm⁻³
DOS at the Fermi energy   1.1020 states/eV/atom

Which one sits at the top of the stability order? x) does.